Entry 1:
Entry from the Alexandria database: a relaxed structure of SrNpSb2 (PBE).

a = 4.5472 Å, b = 4.5472 Å, c = 8.0076 Å
α = 73.51°, β = 73.51°, γ = 60.00°
Closest atoms and distances in Å follow each position.
Positions (direct):
1 Np 0.0000 0.0000 0.0000  6 Sb 3.11
2 Sb 0.7398 0.7398 0.7807  3 Np 3.11, 3 Sr 3.38
3 Sr 0.5000 0.5000 0.5000  6 Sb 3.38
4 Sb 0.2602 0.2602 0.2193  3 Np 3.11, 3 Sr 3.38

Values from the calculation:
Its density is 7.0 g/cm3. Its energy above the most stable polymorph in this dataset is 0 meV per atom. Its formation energy (no corrections) is -0.553 eV per atom. Its symmetry is No. 166. For the calculated total energy, the calculation gives -6.270 eV per atom.

---

Entry 2:
Entry from the Alexandria database: a relaxed structure of TbEuGd2 (PBE).

a = 3.6275 Å, b = 3.6275 Å, c = 10.3489 Å
α = 90.00°, β = 90.00°, γ = 90.00°
Closest atoms and distances in Å follow each position.
Positions (direct):
1 Gd 0.0000 0.0000 0.7654  4 Tb 3.53, 4 Gd 3.63, 4 Eu 3.76
2 Eu 0.5000 0.5000 0.5000  4 Eu 3.63, 8 Gd 3.76
3 Gd 0.0000 0.0000 0.2346  4 Tb 3.53, 4 Gd 3.63, 4 Eu 3.76
4 Tb 0.5000 0.5000 0.0000  8 Gd 3.53, 4 Tb 3.63

Values from the calculation:
Its formation energy is 0.04 eV/atom. Its density is 7.6 g/cm3. Its energy above the most stable polymorph in this dataset is 0 meV per atom. Its symmetry is No. 123. For the calculated total energy, the calculation gives -10.726 eV per atom.

---

Entry 3:
Entry from the Alexandria database: a relaxed structure of Co2W (PBE).

a = 7.0539 Å, b = 7.0539 Å, c = 2.6215 Å
α = 90.00°, β = 90.00°, γ = 120.00°
Closest atoms and distances in Å follow each position.
Positions (direct):
1 W 0.6667 0.3333 0.0000  9 Co 2.45-2.63, 2 W 2.62
2 Co 0.0000 0.6441 0.5000  5 W 2.51-2.63, 8 Co 2.62-2.71
3 Co 0.6922 0.6922 0.0000  4 W 2.45-2.54, 8 Co 2.62-2.71
4 W 0.3333 0.6667 0.0000  9 Co 2.45-2.63, 2 W 2.62
5 W 0.0000 0.0000 0.5000  9 Co 2.51-2.54, 2 W 2.62
6 Co 0.3559 0.3559 0.5000  5 W 2.51-2.63, 8 Co 2.62-2.71
7 Co 0.0000 0.3078 0.0000  4 W 2.45-2.54, 8 Co 2.62-2.71
8 Co 0.6441 0.0000 0.5000  5 W 2.51-2.63, 8 Co 2.62-2.71
9 Co 0.3078 0.0000 0.0000  4 W 2.45-2.54, 8 Co 2.62-2.71

Values from the calculation:
Its formation energy is 0.16 eV/atom. Its density is 13.3 g/cm3. Its symmetry is No. 189. For the calculated total energy, the calculation gives -8.897 eV per atom.

---

Entry 4:
Entry from the Alexandria database: a relaxed structure of CeZnSbAu (PBE).

a = 5.0464 Å, b = 5.0464 Å, c = 5.0464 Å
α = 60.00°, β = 60.00°, γ = 60.00°
Closest atoms and distances in Å follow each position.
Positions (direct):
1 Sb 0.2500 0.2500 0.2500  4 Zn 3.09, 4 Au 3.09
2 Zn 0.5000 0.5000 0.5000  4 Ce 3.09, 4 Sb 3.09
3 Au 0.0000 0.0000 0.0000  4 Sb 3.09, 4 Ce 3.09
4 Ce 0.7500 0.7500 0.7500  4 Au 3.09, 4 Zn 3.09

Values from the calculation:
Its density is 9.6 g/cm3. Its formation energy (no corrections) is -0.440 eV per atom. Its symmetry is No. 216. For the calculated total energy, the calculation gives -4.092 eV per atom.

---

Number 4 is which compound?
CeZnSbAu

---

Look up the density of the first one.
7.0 g/cm3

---

Among the records above, which one has the highest density?
Co2W